Entry 1:
A relaxed structure of IrIO, computed with PBE.

The structure belongs to space group C2/m (No. 12); the cell edges are 20.6356, 3.7078 and 6.4516 Å and the angles 90.00°, 103.85° and 90.00°. Symmetry generates all atoms from Ir at (0.1488, 0.0000, 0.4965), Ir at (0.2096, 0.0000, 0.1816), I at (0.0661, 0.5000, 0.3248), I at (0.1015, 0.0000, 0.8531), O at (0.2013, 0.5000, 0.6115) and O at (0.2137, 0.5000, 0.1714).

The crystal system is monoclinic. As for the final energy: -125.65 eV for the cell shown. As for the energy above the most stable polymorph in this dataset: 0.000 eV per atom.

Entry 2:
A relaxed structure of TaBi2Au, computed with PBE.

The structure belongs to space group F-43m (No. 216); the cell edges are 7.2126, 7.2126 and 7.2126 Å and the angles 90.00°, 90.00° and 90.00°. Symmetry generates all atoms from Ta at (0.0000, 0.0000, 0.0000), Bi at (0.0000, 0.0000, 0.5000), Bi at (0.2500, 0.2500, 0.7500) and Au at (0.2500, 0.2500, 0.2500).

The crystal system is cubic. As for the final energy: -82.30 eV for the cell shown.

Q: What is the final energy in the first record?
A: -125.65 eV for the cell shown

Q: Among the records above, which one has the highest final energy?
A: TaBi2Au

Q: What is the formula in the first record?
A: IrIO